VASP calculation (SCAN) on a PBEsol-optimized structure of NaCu2Au2.

Computed properties:
crystal system = tetragonal
uncorrected energy = -34.7852 eV per atom

Unit cell a=7.602 b=7.602 c=2.753 alpha=90.00 beta=90.00 gamma=90.00
Fractional coordinates of all 10 atoms:
Na1 0.000 0.000 0.000
Na2 0.500 0.500 0.000
Cu1 0.116 0.384 0.000
Cu2 0.384 0.884 0.000
Cu3 0.616 0.116 0.000
Cu4 0.884 0.616 0.000
Au1 0.179 0.679 0.500
Au2 0.321 0.179 0.500
Au3 0.679 0.821 0.500
Au4 0.821 0.321 0.500

VASP calculation (SCAN) on a PBEsol-optimized structure of CsNb2BBr.

Computed properties:
crystal system = tetragonal
uncorrected energy = -24.1181 eV per atom

Unit cell a=4.795 b=4.795 c=6.369 alpha=90.00 beta=90.00 gamma=90.00
Fractional coordinates of all 5 atoms:
Cs1 0.000 0.000 0.000
Nb1 0.000 0.500 0.500
Nb2 0.500 0.000 0.500
B1 0.500 0.500 0.000
Br1 0.000 0.000 0.500

VASP calculation (SCAN) on a PBEsol-optimized structure of CoH2Se.

Computed properties:
crystal system = tetragonal
uncorrected energy = -10.5329 eV per atom

Unit cell a=6.585 b=6.585 c=6.585 alpha=150.00 beta=150.00 gamma=42.94
Fractional coordinates of all 8 atoms:
Co1 0.375 0.625 0.750
Co2 0.625 0.375 0.250
H1 0.000 0.500 0.500
H2 0.500 0.000 0.000
H3 0.500 0.500 0.000
H4 0.500 0.500 0.500
Se1 0.125 0.875 0.250
Se2 0.875 0.125 0.750

VASP calculation (SCAN) on a PBEsol-optimized structure of NaH2Au.

Computed properties:
crystal system = tetragonal
uncorrected energy = -20.2371 eV per atom

Unit cell a=5.322 b=5.322 c=5.322 alpha=123.99 beta=123.99 gamma=83.22
Fractional coordinates of all 8 atoms:
Na1 0.000 0.000 0.000
Na2 0.750 0.250 0.500
H1 0.211 0.125 0.586
H2 0.375 0.789 0.914
H3 0.539 0.625 0.414
H4 0.875 0.461 0.086
Au1 0.250 0.750 0.500
Au2 0.500 0.500 0.000